9
Lattice="4.373 0.000 0.000 0.000 4.373 0.000 0.000 0.000 9.338" Properties=species:S:1:pos:R:3 comment="AcSmAs2Pd5 | Alexandria | PBE | relaxed" density_g_cm3=9.9 final_energy_ev_per_atom=-5.692 magmom_total_mub_per_cell=0.000 e_form_ev_per_atom=-0.7931 pbc="T T T"
Ac 0.000 0.000 4.669
Sm 0.000 0.000 0.000
As 2.187 2.187 1.277
As 2.187 2.187 8.061
Pd 0.000 2.187 2.478
Pd 2.187 0.000 2.478
Pd 0.000 2.187 6.859
Pd 2.187 0.000 6.859
Pd 2.187 2.187 4.669